[1]
HfMo2 | PBE-GGA | optimized geometry

Properties
Its total energy is -10.5165 eV/atom. The calculation puts the density of states at the Fermi level at 2.6 states/eV/f.u. As for the offset from the most stable computed form: 0.2048 eV per atom.

Unit cell a=3.239 b=4.774 c=13.553 alpha=90.00 beta=90.00 gamma=90.00
Space group Fmmm (No. 69)
Asymmetric unit:
Hf (0.000, 0.000, 0.000) [4 per cell]
Mo (0.000, 0.000, 0.327) [8 per cell]



[2]
HfMo2 | PBE-GGA | optimized geometry

Properties
Its total energy is -10.7150 eV/atom. The calculation puts the density of states at the Fermi level at 1.5 states/eV/f.u. As for the offset from the most stable computed form: 0.0062 eV per atom.

Unit cell a=5.3670 b=5.3670 c=17.4362 alpha=90.00 beta=90.00 gamma=120.00
Space group P6_3/mmc (No. 194)
Asymmetric unit:
Hf (0.0000, 0.0000, 0.0946) [4 per cell]
Hf (0.3333, 0.6667, 0.1570) [4 per cell]
Mo (0.0000, 0.5000, 0.0000) [6 per cell]
Mo (0.1635, 0.3270, 0.7500) [6 per cell]
Mo (0.3333, 0.6667, 0.6237) [4 per cell]



Number 1: formation energy from the elements 0.51 kcal/mol of atoms. Number 2: formation energy from the elements -4.07 kcal/mol of atoms.